NaCd2BiO4, optimized geometry, DFT PBE; raw formation energy = -1161 meV per atom
1.0
-2.444 2.444 4.733
2.444 -2.444 4.733
2.444 2.444 -4.733
Na Cd Bi O
1 2 1 4
direct
0.000 0.000 0.000
0.500 0.500 0.000
0.750 0.250 0.500
0.250 0.750 0.500
0.256 0.256 0.000
0.501 0.001 0.500
0.744 0.744 0.000
0.999 0.499 0.500

---

BP2Au, optimized geometry, DFT PBE; E_form = 0.2224 eV per atom
1.0
0.000 4.474 4.882
1.600 0.000 4.882
1.600 4.474 0.000
B P Au
1 2 1
direct
0.000 0.000 0.000
0.300 0.964 0.036
0.964 0.300 0.700
0.353 0.353 0.647

---

TaCrBi2, optimized geometry, DFT PBE; E_form = 0.8475 eV per atom; offset from the most stable computed form = 0.00 kcal/mol of atoms
1.0
0.000 3.455 3.455
3.455 0.000 3.455
3.455 3.455 0.000
Ta Cr Bi
1 1 2
direct
0.000 0.000 0.000
0.500 0.500 0.500
0.250 0.250 0.250
0.750 0.750 0.750

---

La2AgGeS5, optimized geometry, DFT PBE; raw formation energy = -1272 meV per atom
1.0
2.092 -8.607 0.000
2.092 8.607 0.000
0.000 0.000 11.259
La Ag Ge S
4 2 2 10
direct
0.122 0.878 0.500
0.128 0.872 0.119
0.872 0.128 0.619
0.878 0.122 0.000
0.226 0.774 0.848
0.774 0.226 0.348
0.434 0.566 0.276
0.566 0.434 0.776
0.043 0.957 0.866
0.294 0.706 0.493
0.317 0.683 0.171
0.370 0.630 0.814
0.497 0.503 0.092
0.503 0.497 0.592
0.630 0.370 0.314
0.683 0.317 0.671
0.706 0.294 0.993
0.957 0.043 0.366

---

| no. | total DFT energy (no corrections) (eV/atom) |
| --- | --- |
| 1 | -4.52 |
| 2 | -4.97 |
| 3 | -6.46 |
| 4 | -5.49 |